Model one:
Material: Hg2Pd3Au3
Method: DFT, PBE-GGA
State: relaxed

Calculated values
**N(E_F)**: 3.233 states/eV/cell
**Symmetry**: Immm, No. 71

a b c (Å): 4.8935 4.9194 6.8853
angles (deg): 110.98 110.82 90.00
Closest atoms and distances in Å follow each position.
Element x y z (fractional)
Pd1 0.8767 0.3768 0.7533  3 Au 2.85-3.03, 3 Pd 2.86-2.93, 4 Hg 2.86-2.90
Pd2 0.0000 0.0000 0.0000  4 Au 2.84, 4 Pd 2.86-2.87, 2 Hg 2.93
Pd3 0.1233 0.6232 0.2467  3 Au 2.85-3.03, 3 Pd 2.86-2.93, 4 Hg 2.86-2.90
Au1 0.5000 0.5000 0.0000  4 Au 2.85, 4 Pd 2.85, 2 Hg 3.01
Au2 0.6215 0.1214 0.2431  3 Pd 2.84-3.03, 3 Au 2.85-2.89, 4 Hg 2.86-2.92
Au3 0.3785 0.8786 0.7569  3 Pd 2.84-3.03, 3 Au 2.85-2.89, 4 Hg 2.86-2.92
Hg1 0.7535 0.7535 0.5071  5 Pd 2.86-2.93, 5 Au 2.86-3.01
Hg2 0.2465 0.2465 0.4929  5 Pd 2.86-2.93, 5 Au 2.86-3.01

=====

Model two:
Material: Hg2Pd3Au3
Method: DFT, PBE-GGA
State: relaxed

Calculated values
**N(E_F)**: 1.429 states/eV/cell
**Symmetry**: Pmmm, No. 47

a b c (Å): 4.1707 4.3183 7.8678
angles (deg): 90.00 90.00 90.00
Closest atoms and distances in Å follow each position.
Element x y z (fractional)
Pd1 0.5000 0.0000 0.5000  4 Hg 2.83, 4 Au 2.90, 4 Pd 3.00
Pd2 0.5000 0.0000 0.0000  4 Hg 2.91, 8 Au 2.94-3.00
Pd3 0.0000 0.5000 0.5000  4 Au 2.84, 4 Hg 2.88, 4 Pd 3.00
Au1 0.5000 0.5000 0.2543  6 Pd 2.84-2.94, 2 Au 2.89, 4 Hg 3.00
Au2 0.5000 0.5000 0.7457  6 Pd 2.84-2.94, 2 Au 2.89, 4 Hg 3.00
Au3 0.0000 0.5000 0.0000  4 Au 2.89, 4 Hg 2.96, 4 Pd 3.00
Hg1 0.0000 0.0000 0.2571  6 Pd 2.83-2.91, 6 Au 2.96-3.00
Hg2 0.0000 0.0000 0.7429  6 Pd 2.83-2.91, 6 Au 2.96-3.00

=====

Stability summary - winner: model two; margin: 85 meV per atom.

=====

Model one:
Material: RbHg2PdAu
Method: DFT, PBE-GGA
State: relaxed

Calculated values
**N(E_F)**: 0.367 states/eV/cell
**Symmetry**: P4/mmm, No. 123

a b c (Å): 5.3386 5.3386 5.3706
angles (deg): 90.00 90.00 90.00
Closest atoms and distances in Å follow each position.
Element x y z (fractional)
Pd1 0.0000 0.0000 0.0000  4 Hg 2.67, 2 Au 2.69
Au1 0.0000 0.0000 0.5000  2 Pd 2.69
Rb1 0.5000 0.5000 0.5000  4 Au 3.77, 8 Hg 3.79
Hg1 0.0000 0.5000 0.0000  2 Pd 2.67
Hg2 0.5000 0.0000 0.0000  2 Pd 2.67

=====

Model two:
Material: RbHg2PdAu
Method: DFT, PBE-GGA
State: relaxed

Calculated values
**N(E_F)**: 1.128 states/eV/cell
**Symmetry**: P4/mmm, No. 123

a b c (Å): 5.2526 6.4314 5.2526
angles (deg): 90.00 90.00 90.00
Closest atoms and distances in Å follow each position.
Element x y z (fractional)
Hg1 0.0000 0.0000 0.5000  2 Pd 2.63
Hg2 0.5000 0.0000 0.0000  2 Pd 2.63
Rb1 0.0000 0.5000 0.0000  2 Pd 3.22
Pd1 0.0000 0.0000 0.0000  4 Hg 2.63
Au1 0.5000 0.5000 0.5000  4 Rb 3.71, 8 Hg 4.15

=====

Stability summary - winner: model one; margin: 276 meV per atom.

=====

Model one:
Material: PmHgAu2
Method: DFT, PBE-GGA
State: relaxed

Calculated values
**N(E_F)**: 2.132 states/eV/cell
**Symmetry**: P4/mmm, No. 123

a b c (Å): 3.7393 3.7393 6.6433
angles (deg): 90.00 90.00 90.00
Closest atoms and distances in Å follow each position.
Element x y z (fractional)
Au1 0.0000 0.0000 0.7514  4 Hg 3.12, 4 Pm 3.13, 2 Au 3.30-3.34
Au2 0.0000 0.0000 0.2486  4 Hg 3.12, 4 Pm 3.13, 2 Au 3.30-3.34
Hg1 0.5000 0.5000 0.0000  8 Au 3.12, 2 Pm 3.32
Pm1 0.5000 0.5000 0.5000  8 Au 3.13, 2 Hg 3.32

=====

Model two:
Material: PmHgAu2
Method: DFT, PBE-GGA
State: relaxed

Calculated values
**N(E_F)**: 3.522 states/eV/cell
**Symmetry**: Fm-3m, No. 225

a b c (Å): 5.0265 5.0265 5.0265
angles (deg): 60.00 60.00 60.00
Closest atoms and distances in Å follow each position.
Element x y z (fractional)
Hg1 0.0000 0.0000 0.0000  8 Au 3.08
Au1 0.2500 0.2500 0.2500  4 Hg 3.08, 4 Pm 3.08
Au2 0.7500 0.7500 0.7500  4 Hg 3.08, 4 Pm 3.08
Pm1 0.5000 0.5000 0.5000  8 Au 3.08

=====

Model three:
Material: PmHgAu2
Method: DFT, PBE-GGA
State: relaxed

Calculated values
**N(E_F)**: 2.549 states/eV/cell
**Symmetry**: R3m, No. 160

a b c (Å): 4.3197 4.3197 7.0378
angles (deg): 72.13 72.13 60.00
Closest atoms and distances in Å follow each position.
Element x y z (fractional)
Pm1 0.6681 0.6681 0.9958  6 Au 3.02-3.04, 1 Hg 3.37
Hg1 0.4976 0.4976 0.5073  6 Au 2.92-2.98
Au1 0.0876 0.0876 0.7372  3 Hg 2.92, 3 Pm 3.02, 1 Au 3.14
Au2 0.2468 0.2468 0.2597  3 Hg 2.98, 3 Pm 3.04, 1 Au 3.14

=====

Stability summary - winner: model two; margin: 79 meV per atom.

=====

Model one:
Material: Pm2HgAu3
Method: DFT, PBE-GGA
State: relaxed

Calculated values
**N(E_F)**: 2.758 states/eV/cell
**Symmetry**: Imm2, No. 44

a b c (Å): 4.0736 3.9843 9.8006
angles (deg): 101.73 101.99 90.00
Closest atoms and distances in Å follow each position.
Element x y z (fractional)
Au1 0.5556 0.5556 0.1111  1 Au 2.75, 2 Hg 2.77
Au2 0.7022 0.7022 0.4045  3 Au 2.73-2.75
Au3 0.2996 0.7996 0.5991  2 Au 2.73, 1 Hg 2.88, 4 Pm 3.06
Pm1 0.1305 0.1305 0.2611  8 Au 3.15-3.18
Pm2 0.8592 0.3592 0.7185  4 Au 3.06, 4 Hg 3.35
Hg1 0.4529 0.9529 0.9058  3 Au 2.77-2.88

=====

Model two:
Material: Pm2HgAu3
Method: DFT, PBE-GGA
State: relaxed

Calculated values
**N(E_F)**: 8.422 states/eV/cell
**Symmetry**: Fmmm, No. 69

a b c (Å): 5.9713 5.9713 9.0535
angles (deg): 103.05 103.05 108.36
Closest atoms and distances in Å follow each position.
Element x y z (fractional)
Au1 0.1655 0.1655 0.3311  2 Au 2.78, 1 Hg 2.80
Au2 0.8335 0.3326 0.1661  2 Au 2.77-2.78, 1 Hg 2.80
Au3 0.3326 0.8335 0.1661  2 Au 2.77-2.78, 1 Hg 2.80
Au4 0.1665 0.6674 0.8339  2 Au 2.77-2.78, 1 Hg 2.80
Au5 0.6674 0.1665 0.8339  2 Au 2.77-2.78, 1 Hg 2.80
Au6 0.8345 0.8345 0.6689  2 Au 2.78, 1 Hg 2.80
Pm1 0.2460 0.2460 0.0000  10 Au 3.26-3.31, 2 Hg 3.30, 2 Pm 3.44-3.55
Pm2 0.2500 0.7500 0.5000  8 Au 3.29-3.30, 4 Hg 3.29, 2 Pm 3.49
Pm3 0.7540 0.7540 0.0000  10 Au 3.26-3.31, 2 Hg 3.30, 2 Pm 3.44-3.55
Pm4 0.7500 0.2500 0.5000  8 Au 3.29-3.30, 4 Hg 3.29, 2 Pm 3.49
Hg1 0.3332 0.3332 0.6665  3 Au 2.80
Hg2 0.6668 0.6668 0.3335  3 Au 2.80

=====

Stability summary - winner: model two; margin: 60 meV per atom.

=====

Model one:
Material: Pm8HgAu2
Method: DFT, PBE-GGA
State: relaxed

Calculated values
**N(E_F)**: 14.392 states/eV/cell
**Symmetry**: Immm, No. 71

a b c (Å): 5.0777 8.3896 9.0566
angles (deg): 117.59 106.28 90.00
Closest atoms and distances in Å follow each position.
Element x y z (fractional)
Au1 0.8026 0.3026 0.6053  8 Pm 3.14-3.37
Au2 0.1974 0.6974 0.3947  8 Pm 3.14-3.37
Pm1 0.0000 0.6811 0.0000  3 Pm 3.04-3.35, 2 Au 3.37
Pm2 0.6660 0.8863 0.3320  3 Au 3.14-3.18, 1 Hg 3.45, 2 Pm 3.49
Pm3 0.3340 0.1137 0.6680  3 Au 3.14-3.18, 1 Hg 3.45, 2 Pm 3.49
Pm4 0.0000 0.3189 0.0000  3 Pm 3.04-3.35, 2 Au 3.37
Pm5 0.1324 0.1324 0.2648  2 Hg 3.24, 8 Pm 3.35-3.58, 2 Au 3.63
Pm6 0.6660 0.4457 0.3320  3 Au 3.14-3.18, 1 Hg 3.45, 2 Pm 3.49
Pm7 0.3340 0.5543 0.6680  3 Au 3.14-3.18, 1 Hg 3.45, 2 Pm 3.49
Pm8 0.8676 0.8676 0.7352  2 Hg 3.24, 8 Pm 3.35-3.58, 2 Au 3.63
Hg1 0.5000 0.0000 0.0000  8 Pm 3.24-3.45

=====

Model two:
Material: Pm8HgAu2
Method: DFT, PBE-GGA
State: relaxed

Calculated values
**N(E_F)**: 11.046 states/eV/cell
**Symmetry**: C2/m, No. 12

a b c (Å): 5.2389 7.1440 9.6987
angles (deg): 106.63 105.67 90.00
Closest atoms and distances in Å follow each position.
Element x y z (fractional)
Au1 0.8211 0.2674 0.6423  5 Pm 2.92-3.21
Au2 0.1789 0.7326 0.3577  5 Pm 2.92-3.21
Pm1 0.6713 0.9861 0.3426  3 Au 2.92-3.21, 1 Hg 3.23
Pm2 0.1985 0.3357 0.3970  1 Au 2.96
Pm3 0.9737 0.2322 0.9475  1 Au 2.93, 2 Hg 3.22
Pm4 0.0263 0.7678 0.0525  1 Au 2.93, 2 Hg 3.22
Pm5 0.5920 0.4695 0.1841  1 Hg 3.28, 2 Au 3.35, 6 Pm 3.52-3.59
Pm6 0.3287 0.0139 0.6574  3 Au 2.92-3.21, 1 Hg 3.23
Pm7 0.8015 0.6643 0.6030  1 Au 2.96
Pm8 0.4080 0.5305 0.8159  1 Hg 3.28, 2 Au 3.35, 6 Pm 3.52-3.59
Hg1 0.5000 0.0000 0.0000  8 Pm 3.22-3.28

=====

Stability summary - winner: model two; margin: 100 meV per atom.

=====

Model one:
Material: Pm3Hg3Au2
Method: DFT, PBE-GGA
State: relaxed

Calculated values
**N(E_F)**: 8.094 states/eV/cell
**Symmetry**: C2/m, No. 12

a b c (Å): 4.1952 5.2074 10.1769
angles (deg): 108.04 101.89 90.00
Closest atoms and distances in Å follow each position.
Element x y z (fractional)
Pm1 0.8503 0.3106 0.7006  4 Au 3.03-3.15, 4 Hg 3.36-3.39
Pm2 0.0000 0.0000 0.0000  8 Hg 3.16-3.34
Pm3 0.1497 0.6894 0.2994  4 Au 3.03-3.15, 4 Hg 3.36-3.39
Au1 0.7618 0.7171 0.5236  3 Hg 3.00-3.31, 2 Au 3.01, 4 Pm 3.03-3.15
Au2 0.2382 0.2829 0.4764  3 Hg 3.00-3.31, 2 Au 3.01, 4 Pm 3.03-3.15
Hg1 0.3752 0.8447 0.7503  3 Au 3.00-3.31, 2 Pm 3.16
Hg2 0.6248 0.1553 0.2497  3 Au 3.00-3.31, 2 Pm 3.16
Hg3 0.5000 0.5000 0.0000  8 Pm 3.34-3.52, 4 Hg 3.50-3.53

=====

Model two:
Material: Pm3Hg3Au2
Method: DFT, PBE-GGA
State: relaxed

Calculated values
**N(E_F)**: 7.335 states/eV/cell
**Symmetry**: P-62m, No. 189

a b c (Å): 3.8880 7.8339 7.8339
angles (deg): 120.00 90.00 90.00
Closest atoms and distances in Å follow each position.
Element x y z (fractional)
Pm1 0.5000 0.4072 0.4072  4 Au 3.07, 6 Hg 3.38-3.43
Pm2 0.5000 0.0000 0.5928  4 Au 3.07, 6 Hg 3.38-3.43
Pm3 0.5000 0.5928 0.0000  4 Au 3.07, 6 Hg 3.38-3.43
Hg1 0.0000 0.0000 0.2316  2 Au 3.09, 2 Hg 3.14, 6 Pm 3.38-3.43
Hg2 0.0000 0.7684 0.7684  2 Au 3.09, 2 Hg 3.14, 6 Pm 3.38-3.43
Hg3 0.0000 0.2316 0.0000  2 Au 3.09, 2 Hg 3.14, 6 Pm 3.38-3.43
Au1 0.0000 0.6667 0.3333  6 Pm 3.07, 3 Hg 3.09
Au2 0.0000 0.3333 0.6667  6 Pm 3.07, 3 Hg 3.09

=====

Stability summary - winner: model two; margin: 92 meV per atom.

=====

Model one:
Material: Pm4HgAu3
Method: DFT, PBE-GGA
State: relaxed

Calculated values
**N(E_F)**: 6.862 states/eV/cell
**Symmetry**: Pmmm, No. 47

a b c (Å): 3.7174 5.2695 10.5245
angles (deg): 90.00 90.00 90.00
Closest atoms and distances in Å follow each position.
Element x y z (fractional)
Pm1 0.0000 0.5000 0.7418  6 Au 3.15-3.23, 2 Hg 3.29
Pm2 0.0000 0.0000 0.5000  8 Au 3.22-3.26
Pm3 0.0000 0.0000 0.0000  4 Au 3.19, 4 Hg 3.22
Pm4 0.0000 0.5000 0.2582  6 Au 3.15-3.23, 2 Hg 3.29
Au1 0.5000 0.0000 0.7542  8 Pm 3.19-3.26
Au2 0.5000 0.5000 0.5000  8 Pm 3.15-3.22
Au3 0.5000 0.0000 0.2458  8 Pm 3.19-3.26
Hg1 0.5000 0.5000 0.0000  8 Pm 3.22-3.29

=====

Model two:
Material: Pm4HgAu3
Method: DFT, PBE-GGA
State: relaxed

Calculated values
**N(E_F)**: 5.968 states/eV/cell
**Symmetry**: Pmm2, No. 25

a b c (Å): 3.8801 4.8288 11.3507
angles (deg): 90.00 90.00 90.00
Closest atoms and distances in Å follow each position.
Element x y z (fractional)
Au1 0.0000 0.5000 0.5861  7 Pm 3.06-3.15, 2 Au 3.10
Au2 0.0000 0.0000 0.4149  2 Au 3.10, 7 Pm 3.11-3.17
Au3 0.5000 0.0000 0.9113  7 Pm 3.12-3.25, 2 Hg 3.12
Pm1 0.5000 0.5000 0.3686  6 Au 3.14, 1 Hg 3.21
Pm2 0.0000 0.5000 0.8557  5 Au 3.06-3.16, 2 Hg 3.25
Pm3 0.5000 0.0000 0.6362  7 Au 3.12-3.17
Pm4 0.0000 0.0000 0.1410  3 Au 3.11-3.25, 4 Hg 3.16
Hg1 0.5000 0.5000 0.0860  2 Au 3.12, 7 Pm 3.16-3.25

=====

Stability summary - winner: model two; margin: 14 meV per atom.

=====

Model one:
Material: PmPrHgAu
Method: DFT, PBE-GGA
State: relaxed

Calculated values
**N(E_F)**: 3.691 states/eV/cell
**Symmetry**: P4mm, No. 99

a b c (Å): 3.7752 3.7752 7.5719
angles (deg): 90.00 90.00 90.00
Closest atoms and distances in Å follow each position.
Element x y z (fractional)
Au1 0.0000 0.0000 0.3473  4 Pm 3.18, 4 Pr 3.27
Hg1 0.0000 0.0000 0.8636  4 Pm 3.30, 4 Pr 3.35, 1 Au 3.66
Pm1 0.5000 0.5000 0.1201  4 Au 3.18, 4 Hg 3.30
Pr1 0.5000 0.5000 0.5969  4 Au 3.27, 4 Hg 3.35, 1 Pm 3.61

=====

Model two:
Material: PmPrHgAu
Method: DFT, PBE-GGA
State: relaxed

Calculated values
**N(E_F)**: 3.137 states/eV/cell
**Symmetry**: F-43m, No. 216

a b c (Å): 5.3417 5.3417 5.3417
angles (deg): 60.00 60.00 60.00
Closest atoms and distances in Å follow each position.
Element x y z (fractional)
Pm1 0.7500 0.7500 0.7500  4 Au 3.27, 4 Hg 3.27
Au1 0.0000 0.0000 0.0000  4 Pm 3.27, 4 Pr 3.27
Hg1 0.5000 0.5000 0.5000  4 Pr 3.27, 4 Pm 3.27
Pr1 0.2500 0.2500 0.2500  4 Hg 3.27, 4 Au 3.27

=====

Stability summary - winner: model one; margin: 14 meV per atom.